A plane-wave DFT calculation with PBE-GGA was carried out for a geometry-optimized La2DyGe3Pt12 structure.

Lattice parameters (Å, degrees): 7.8581 7.8581 7.8581 64.89 64.89 64.89
Atoms (fractional coordinates):
Pt (0.0944, 0.6413, 0.6413)
Pt (0.1482, 0.6038, 0.1482)
Pt (0.6038, 0.1482, 0.1482)
Pt (0.6413, 0.0944, 0.6413)
Pt (0.9056, 0.3587, 0.3587)
Pt (0.1482, 0.1482, 0.6038)
Pt (0.3962, 0.8518, 0.8518)
Pt (0.3587, 0.3587, 0.9056)
Pt (0.3587, 0.9056, 0.3587)
Pt (0.8518, 0.3962, 0.8518)
Pt (0.8518, 0.8518, 0.3962)
Pt (0.6413, 0.6413, 0.0944)
Dy (0.0000, 0.0000, 0.0000)
Ge (0.5000, 0.0000, 0.0000)
Ge (0.0000, 0.0000, 0.5000)
Ge (0.0000, 0.5000, 0.0000)
La (0.3992, 0.3992, 0.3992)
La (0.6008, 0.6008, 0.6008)

DFT formation energy: -432 meV per atom


A plane-wave DFT calculation with PBE-GGA was carried out for a geometry-optimized LaDyTlGe structure.

Lattice parameters (Å, degrees): 5.3532 5.3532 5.3532 60.00 60.00 60.00
Atoms (fractional coordinates):
Dy (0.2500, 0.2500, 0.2500)
La (0.7500, 0.7500, 0.7500)
Ge (0.5000, 0.5000, 0.5000)
Tl (0.0000, 0.0000, 0.0000)

DFT formation energy: -466 meV per atom


A plane-wave DFT calculation with PBE-GGA was carried out for a geometry-optimized LaDyZnGe structure.

Lattice parameters (Å, degrees): 5.1605 5.1605 5.1605 60.00 60.00 60.00
Atoms (fractional coordinates):
La (0.5000, 0.5000, 0.5000)
Zn (0.7500, 0.7500, 0.7500)
Ge (0.2500, 0.2500, 0.2500)
Dy (0.0000, 0.0000, 0.0000)

DFT formation energy: -534 meV per atom


A plane-wave DFT calculation with PBE-GGA was carried out for a geometry-optimized LaDyZn2Ge2 structure.

Lattice parameters (Å, degrees): 4.2364 4.2364 8.4199 90.00 90.00 120.00
Atoms (fractional coordinates):
Zn (0.6667, 0.3333, 0.2620)
Zn (0.3333, 0.6667, 0.7380)
La (0.0000, 0.0000, 0.0000)
Ge (0.3333, 0.6667, 0.2635)
Ge (0.6667, 0.3333, 0.7365)
Dy (0.0000, 0.0000, 0.5000)

DFT formation energy: -663 meV per atom


A plane-wave DFT calculation with PBE-GGA was carried out for a geometry-optimized LiDyGe structure.

Lattice parameters (Å, degrees): 4.2766 7.0468 7.0468 120.00 90.00 90.00
Atoms (fractional coordinates):
Li (0.5000, 0.7673, 0.7673)
Li (0.5000, 0.0000, 0.2327)
Li (0.5000, 0.2327, 0.0000)
Ge (0.0000, 0.0000, 0.0000)
Ge (0.5000, 0.6667, 0.3333)
Ge (0.5000, 0.3333, 0.6667)
Dy (0.0000, 0.0000, 0.5745)
Dy (0.0000, 0.4255, 0.4255)
Dy (0.0000, 0.5745, 0.0000)

DFT formation energy: -716 meV per atom


A plane-wave DFT calculation with PBE-GGA was carried out for a geometry-optimized LiDy2Ge2 structure.

Lattice parameters (Å, degrees): 4.2777 5.6367 5.6368 64.54 67.70 67.70
Atoms (fractional coordinates):
Dy (0.7078, 0.7922, 0.2922)
Dy (0.2922, 0.2078, 0.7078)
Ge (0.0000, 0.7840, 0.7160)
Ge (0.0000, 0.2160, 0.2840)
Li (0.5000, 0.5000, 0.0000)

DFT formation energy: -689 meV per atom


A plane-wave DFT calculation with PBE-GGA was carried out for a geometry-optimized Li4DyGe4 structure.

Lattice parameters (Å, degrees): 6.0981 6.0981 8.6227 90.00 90.00 90.00
Atoms (fractional coordinates):
Li (0.7591, 0.5000, 0.9122)
Li (0.0000, 0.7409, 0.4122)
Li (0.5000, 0.2409, 0.0878)
Li (0.5000, 0.7591, 0.0878)
Li (0.2591, 0.0000, 0.5878)
Li (0.7409, 0.0000, 0.5878)
Li (0.2409, 0.5000, 0.9122)
Li (0.0000, 0.2591, 0.4122)
Dy (0.5000, 0.5000, 0.5000)
Dy (0.0000, 0.0000, 0.0000)
Ge (0.5000, 0.7940, 0.7874)
Ge (0.2940, 0.0000, 0.2874)
Ge (0.2060, 0.5000, 0.2126)
Ge (0.7060, 0.0000, 0.2874)
Ge (0.0000, 0.7060, 0.7126)
Ge (0.0000, 0.2940, 0.7126)
Ge (0.5000, 0.2060, 0.7874)
Ge (0.7940, 0.5000, 0.2126)

DFT formation energy: -337 meV per atom


A plane-wave DFT calculation with PBE-GGA was carried out for a geometry-optimized LiDyGe structure.

Lattice parameters (Å, degrees): 4.6654 4.6654 4.6654 60.00 60.00 60.00
Atoms (fractional coordinates):
Ge (0.2500, 0.2500, 0.2500)
Li (0.0000, 0.0000, 0.0000)
Dy (0.5000, 0.5000, 0.5000)

DFT formation energy: -563 meV per atom